The following is a DFT calculation (GGA+U) of crystalline RbAlMo2F at its relaxed geometry.

Unit cell a=6.713 b=6.713 c=7.101 alpha=90.00 beta=90.00 gamma=90.00
Element x y z (fractional)
Rb 0.000 0.000 0.000
Al 0.000 0.000 0.500
Mo 0.000 0.500 0.000
Mo 0.500 0.000 0.000
F 0.500 0.500 0.500

Properties
Crystal system   tetragonal
Calculated total energy   -0.1752 Ry/atom
Theoretical density   1.68 g cm⁻³
Offset from the most stable computed form   1295 meV/atom
DOS(E_F)   0.69 states/eV per cell